# Sm5GePb2

A geometry-optimized Sm5GePb2 structure (PBE-GGA, Alexandria via LeMat-Bulk).

**Calculated formation energy**: -4.728 eV per formula unit

Unit cell a=8.3699 b=12.5732 c=4.6396 alpha=90.00 beta=90.00 gamma=90.00
Positions (direct):
Sm 0.0000 0.0000 0.0000
Sm 0.1464 0.2901 0.0000
Sm 0.1953 0.5672 0.5000
Sm 0.3047 0.0672 0.5000
Sm 0.3536 0.7901 0.0000
Sm 0.5000 0.5000 0.0000
Sm 0.6464 0.2099 0.0000
Sm 0.6953 0.9328 0.5000
Sm 0.8047 0.4328 0.5000
Sm 0.8536 0.7099 0.0000
Ge 0.0000 0.5000 0.0000
Ge 0.5000 0.0000 0.0000
Pb 0.0788 0.8268 0.5000
Pb 0.4212 0.3268 0.5000
Pb 0.5788 0.6732 0.5000
Pb 0.9212 0.1732 0.5000